No. 1
SnGeSb2Te: relaxed, PBE.

It has space group P4/mmm (No. 123), with a = 5.6250 Å, b = 5.6250 Å, c = 5.6612 Å, α = 90.00°, β = 90.00° and γ = 90.00°. The asymmetric unit holds Sn at (0.0000, 0.0000, 0.0000), Ge at (0.5000, 0.5000, 0.5000), Sb at (0.0000, 0.5000, 0.0000) and Te at (0.0000, 0.0000, 0.5000).

The value obtained for the polymorph energy (0 for the lowest one) is 372.4 meV/atom. The calculated volume is 35.825 Å³/atom. For the density of states at the Fermi level, the calculation gives 1.27 states/eV/atom. The uncorrected formation energy comes out at 864.8 meV/atom. As for the total magnetic moment: 0.00 μB/f.u.


No. 2
Co3SiBi: relaxed, PBE.

It has space group Pm-3m (No. 221), with a = 4.3199 Å, b = 4.3199 Å, c = 4.3199 Å, α = 90.00°, β = 90.00° and γ = 90.00°. The asymmetric unit holds Co at (0.0000, 0.0000, 0.5000), Si at (0.0000, 0.0000, 0.0000) and Bi at (0.5000, 0.5000, 0.5000).

The value obtained for the polymorph energy (0 for the lowest one) is 0.0 meV/atom. The calculated volume is 16.123 Å³/atom. For the density of states at the Fermi level, the calculation gives 1.31 states/eV/atom. The uncorrected formation energy comes out at 416.1 meV/atom. As for the total magnetic moment: 2.77 μB/f.u.


No. 3
RbZrSc2: relaxed, PBE.

It has space group Fm-3m (No. 225), with a = 7.7090 Å, b = 7.7090 Å, c = 7.7090 Å, α = 90.00°, β = 90.00° and γ = 90.00°. The asymmetric unit holds Rb at (0.0000, 0.0000, 0.0000), Zr at (0.0000, 0.0000, 0.5000) and Sc at (0.2500, 0.2500, 0.2500).

The value obtained for the polymorph energy (0 for the lowest one) is 186.0 meV/atom. The calculated volume is 28.633 Å³/atom. For the density of states at the Fermi level, the calculation gives 1.88 states/eV/atom. The calculated formation energy is 85 kJ/mol of atoms. As for the total magnetic moment: 1.03 μB/f.u.


No. 4
SnP2RuCl: relaxed, PBE.

It has space group P4/mmm (No. 123), with a = 4.9867 Å, b = 4.9867 Å, c = 4.9597 Å, α = 90.00°, β = 90.00° and γ = 90.00°. The asymmetric unit holds Sn at (0.0000, 0.0000, 0.0000), P at (0.0000, 0.5000, 0.0000), Ru at (0.5000, 0.5000, 0.5000) and Cl at (0.0000, 0.0000, 0.5000).

The value obtained for the polymorph energy (0 for the lowest one) is 1110.9 meV/atom. The calculated volume is 24.667 Å³/atom. For the density of states at the Fermi level, the calculation gives 0.99 states/eV/atom. The uncorrected formation energy comes out at 1361.0 meV/atom. As for the total magnetic moment: 3.23 μB/f.u.


No. 5
TlCo2Br: relaxed, PBE.

It has space group P4/mmm (No. 123), with a = 3.1927 Å, b = 3.1927 Å, c = 6.6424 Å, α = 90.00°, β = 90.00° and γ = 90.00°. The asymmetric unit holds Tl at (0.0000, 0.0000, 0.0000), Co at (0.5000, 0.5000, 0.2711) and Br at (0.0000, 0.0000, 0.5000).

The value obtained for the polymorph energy (0 for the lowest one) is 389.3 meV/atom. The calculated volume is 16.927 Å³/atom. For the density of states at the Fermi level, the calculation gives 1.60 states/eV/atom. The uncorrected formation energy comes out at 733.8 meV/atom. As for the total magnetic moment: 3.05 μB/f.u.


No. 6
TbSmGd2: relaxed, PBE.

It has space group R-3m (No. 166, hexagonal axes), with a = 3.5857 Å, b = 3.5857 Å, c = 35.1613 Å, α = 90.00°, β = 90.00° and γ = 120.00°. The asymmetric unit holds Tb at (0.0000, 0.0000, 0.0000), Sm at (0.0000, 0.0000, 0.5000) and Gd at (0.0000, 0.0000, 0.2506).

The value obtained for the polymorph energy (0 for the lowest one) is 0.0 meV/atom. The calculated volume is 32.625 Å³/atom. For the density of states at the Fermi level, the calculation gives 1.63 states/eV/atom. The calculated formation energy is 2 kJ/mol of atoms. As for the total magnetic moment: 14.58 μB/f.u.


No. 7
PrZrIn2: relaxed, PBE.

It has space group P4/mmm (No. 123), with a = 3.8508 Å, b = 3.8508 Å, c = 6.9803 Å, α = 90.00°, β = 90.00° and γ = 90.00°. The asymmetric unit holds Pr at (0.0000, 0.0000, 0.0000), Zr at (0.0000, 0.0000, 0.5000) and In at (0.5000, 0.5000, 0.2809).

The calculated volume is 25.876 Å³/atom. For the density of states at the Fermi level, the calculation gives 0.92 states/eV/atom. The calculated formation energy is -30 kJ/mol of atoms. As for the total magnetic moment: 0.28 μB/f.u.


No. 8
CaPbIN2: relaxed, PBE.

It has space group P4/mmm (No. 123), with a = 4.4665 Å, b = 4.4665 Å, c = 6.2535 Å, α = 90.00°, β = 90.00° and γ = 90.00°. The asymmetric unit holds Ca at (0.0000, 0.0000, 0.0000), Pb at (0.5000, 0.5000, 0.5000), I at (0.5000, 0.5000, 0.0000) and N at (0.0000, 0.5000, 0.5000).

The value obtained for the polymorph energy (0 for the lowest one) is 0.0 meV/atom. The calculated volume is 24.951 Å³/atom. For the density of states at the Fermi level, the calculation gives 0.35 states/eV/atom. The uncorrected formation energy comes out at 861.6 meV/atom. As for the total magnetic moment: 1.14 μB/f.u.


No. 9
Pr4TmMg2: relaxed, PBE.

It has space group R-3m (No. 166, hexagonal axes), with a = 5.6645 Å, b = 5.6645 Å, c = 26.9926 Å, α = 90.00°, β = 90.00° and γ = 120.00°. The asymmetric unit holds Pr at (0.0000, 0.0000, 0.1304), Pr at (0.0000, 0.0000, 0.2587), Tm at (0.0000, 0.0000, 0.5000) and Mg at (0.0000, 0.0000, 0.3807).

The value obtained for the polymorph energy (0 for the lowest one) is 102.8 meV/atom. The calculated volume is 35.718 Å³/atom. For the density of states at the Fermi level, the calculation gives 1.32 states/eV/atom. The calculated formation energy is 24 kJ/mol of atoms. As for the total magnetic moment: 0.00 μB/f.u.


No. 10
TlAgSb2: relaxed, PBE.

It has space group Cm (No. 8), with a = 8.5408 Å, b = 3.2186 Å, c = 7.9766 Å, α = 90.00°, β = 96.63° and γ = 90.00°. The asymmetric unit holds Tl at (0.0000, 0.0000, 0.0000), Ag at (0.2602, 0.0000, 0.7624), Sb at (0.0296, 0.5000, 0.5532) and Sb at (0.2408, 0.5000, 0.2889).

The calculated volume is 27.226 Å³/atom. For the density of states at the Fermi level, the calculation gives 0.24 states/eV/atom. The uncorrected formation energy comes out at 120.7 meV/atom. As for the total magnetic moment: 0.00 μB/f.u.


No. 11
SiAsP2: relaxed, PBE.

It has space group Cmm2 (No. 35), with a = 3.2424 Å, b = 5.5379 Å, c = 8.7076 Å, α = 90.00°, β = 90.00° and γ = 90.00°. The asymmetric unit holds Si at (0.0000, 0.0000, 0.0000), As at (0.0000, 0.5000, 0.2044), P at (0.0000, 0.0000, 0.6075) and P at (0.0000, 0.5000, 0.7820).

The value obtained for the polymorph energy (0 for the lowest one) is 414.3 meV/atom. The calculated volume is 19.544 Å³/atom. For the density of states at the Fermi level, the calculation gives 0.26 states/eV/atom. The uncorrected formation energy comes out at 515.2 meV/atom. As for the total magnetic moment: 0.00 μB/f.u.


No. 12
Ho12H5Ir3: relaxed, PBE.

It has space group Ia-3d (No. 230), with a = 14.9983 Å, b = 14.9983 Å, c = 14.9983 Å, α = 90.00°, β = 90.00° and γ = 90.00°. The asymmetric unit holds Ho at (0.0337, 0.0610, 0.6559), H at (0.0000, 0.0000, 0.0000), H at (0.0000, 0.2500, 0.3750) and Ir at (0.0000, 0.2500, 0.1250).

The calculated volume is 21.086 Å³/atom. For the density of states at the Fermi level, the calculation gives 0.78 states/eV/atom. The calculation puts the final energy at -5.402 eV/atom. As for the total magnetic moment: 0.00 μB/f.u.


No. 13
SnTeH: relaxed, PBE.

It has space group Immm (No. 71), with a = 4.5290 Å, b = 4.5315 Å, c = 18.3014 Å, α = 90.00°, β = 90.00° and γ = 90.00°. The asymmetric unit holds Sn at (0.0000, 0.0000, 0.1784), Te at (0.0000, 0.0000, 0.3385) and H at (0.0000, 0.0831, 0.0000).

The calculated volume is 31.300 Å³/atom. The calculation puts the final energy at -3.659 eV/atom. As for the total magnetic moment: 0.00 μB/f.u.


No. 14
FeAu: relaxed, PBE.

It has space group Pmmn (No. 59, origin choice 2), with a = 2.8342 Å, b = 4.4854 Å, c = 4.8481 Å, α = 90.00°, β = 90.00° and γ = 90.00°. The asymmetric unit holds Fe at (0.2500, 0.2500, 0.0772) and Au at (0.2500, 0.7500, 0.3961).

The calculated volume is 15.408 Å³/atom. For the density of states at the Fermi level, the calculation gives 0.98 states/eV/atom. The calculated formation energy is 22 kJ/mol of atoms. As for the total magnetic moment: 2.92 μB/f.u.


No. 15
Dy2BePd6: relaxed, PBE.

It has space group C2/m (No. 12), with a = 10.2533 Å, b = 5.9497 Å, c = 5.9694 Å, α = 90.00°, β = 124.45° and γ = 90.00°. The asymmetric unit holds Dy at (0.2495, 0.0000, 0.2464), Be at (0.0000, 0.5000, 0.0000), Pd at (0.0015, 0.2389, 0.2633) and Pd at (0.2387, 0.0000, 0.7357).

The calculated volume is 16.683 Å³/atom. For the density of states at the Fermi level, the calculation gives 0.19 states/eV/atom. The calculated formation energy is -86 kJ/mol of atoms. As for the total magnetic moment: 0.00 μB/f.u.


No. 16
LiMgAg4: relaxed, PBE.

It has space group F-43m (No. 216), with a = 7.8160 Å, b = 7.8160 Å, c = 7.8160 Å, α = 90.00°, β = 90.00° and γ = 90.00°. The asymmetric unit holds Li at (0.0000, 0.0000, 0.0000), Mg at (0.2500, 0.2500, 0.7500) and Ag at (0.1250, 0.1250, 0.3750).

The value obtained for the polymorph energy (0 for the lowest one) is 82.9 meV/atom. The calculated volume is 19.895 Å³/atom. For the density of states at the Fermi level, the calculation gives 0.35 states/eV/atom. The calculated formation energy is -7 kJ/mol of atoms. As for the total magnetic moment: 0.00 μB/f.u.


No. 17
EuPuIr4: relaxed, PBE.

It has space group F-43m (No. 216), with a = 7.6160 Å, b = 7.6160 Å, c = 7.6160 Å, α = 90.00°, β = 90.00° and γ = 90.00°. The asymmetric unit holds Eu at (0.0000, 0.0000, 0.0000), Pu at (0.2500, 0.2500, 0.2500) and Ir at (0.1249, 0.1249, 0.6249).

The calculated volume is 18.406 Å³/atom. For the density of states at the Fermi level, the calculation gives 1.96 states/eV/atom. The calculated formation energy is -51 kJ/mol of atoms. As for the total magnetic moment: 11.03 μB/f.u.


No. 18
Np2CrSi4Pt3: relaxed, PBE.

It has space group P-4m2 (No. 115), with a = 4.1415 Å, b = 4.1415 Å, c = 10.0605 Å, α = 90.00°, β = 90.00° and γ = 90.00°. The asymmetric unit holds Np at (0.0000, 0.5000, 0.2494), Cr at (0.0000, 0.0000, 0.5000), Si at (0.0000, 0.0000, 0.0000), Si at (0.0000, 0.5000, 0.6349), Si at (0.5000, 0.5000, 0.0000), Pt at (0.0000, 0.5000, 0.8756) and Pt at (0.5000, 0.5000, 0.5000).

The calculated volume is 17.256 Å³/atom. For the density of states at the Fermi level, the calculation gives 2.11 states/eV/atom. The uncorrected formation energy comes out at -628.0 meV/atom. As for the total magnetic moment: 9.60 μB/f.u.


No. 19
AcPmSn4: relaxed, PBE.

It has space group P4/mmm (No. 123), with a = 5.6151 Å, b = 5.6151 Å, c = 6.9545 Å, α = 90.00°, β = 90.00° and γ = 90.00°. The asymmetric unit holds Ac at (0.0000, 0.0000, 0.0000), Pm at (0.5000, 0.5000, 0.5000) and Sn at (0.0000, 0.5000, 0.2855).

The value obtained for the polymorph energy (0 for the lowest one) is 313.1 meV/atom. The calculated volume is 36.545 Å³/atom. For the density of states at the Fermi level, the calculation gives 0.64 states/eV/atom. The calculated formation energy is -21 kJ/mol of atoms. As for the total magnetic moment: 0.00 μB/f.u.


No. 20
Ta2AlPd: relaxed, PBE.

It has space group I-42d (No. 122), with a = 3.8072 Å, b = 3.8072 Å, c = 19.9925 Å, α = 90.00°, β = 90.00° and γ = 90.00°. The asymmetric unit holds Ta at (0.2437, 0.2500, 0.1250), Al at (0.0000, 0.0000, 0.0000) and Pd at (0.0000, 0.0000, 0.5000).

The calculated volume is 18.112 Å³/atom. For the density of states at the Fermi level, the calculation gives 0.71 states/eV/atom. The calculated formation energy is 25 kJ/mol of atoms. As for the total magnetic moment: 0.00 μB/f.u.